Computed, not measured: a relaxed structure of BaFePO4F2 at the GGA+U level of DFT.

Values from the calculation:
The final energy is -6.69 eV per atom. The mass density comes out at 4.418 g cm⁻³. Its density of states at the Fermi level is 0.00 states/eV/cell.

Cell and atoms, written as POSCAR:
```
BaFePO4F2
1.0
5.2970 0.0000 0.0000
0.0000 13.0178 0.0000
-3.7154 0.0000 7.1115
Ba Fe P O F
4 4 4 16 8
Direct
0.1427 0.2043 0.1876
0.1427 0.2957 0.6876
0.8573 0.7043 0.3124
0.8573 0.7957 0.8124
0.0000 0.0000 0.5000
0.0000 0.5000 0.0000
0.5000 0.0000 0.0000
0.5000 0.5000 0.5000
0.3729 0.6119 0.8055
0.3729 0.8881 0.3055
0.6271 0.1119 0.6945
0.6271 0.3881 0.1945
0.2249 0.5957 0.9315
0.2249 0.9043 0.4315
0.2795 0.7158 0.7054
0.2795 0.7842 0.2054
0.2949 0.1147 0.5594
0.2949 0.3853 0.0594
0.3077 0.5223 0.6621
0.3077 0.9777 0.1621
0.6923 0.0223 0.8379
0.6923 0.4777 0.3379
0.7051 0.6147 0.9406
0.7051 0.8853 0.4406
0.7205 0.2158 0.7946
0.7205 0.2842 0.2946
0.7751 0.0957 0.5685
0.7751 0.4043 0.0685
0.1738 0.5551 0.2657
0.1738 0.9449 0.7657
0.3379 0.1380 0.9508
0.3379 0.3620 0.4508
0.6621 0.6380 0.5492
0.6621 0.8620 0.0492
0.8262 0.0551 0.2343
0.8262 0.4449 0.7343
```